[1]
The following is a SCAN calculation of HfNiMoAu2 at its PBEsol-relaxed geometry, from Alexandria.

Values from the calculation:
Symmetry: P4/mmm (123)
E_form (eV/atom): 1.259

a b c (Å): 4.4197 4.9994 4.9994
angles (deg): 90.00 90.00 90.00
Site moments in Bohr magnetons follow the coordinates.
Fractional positions:
Hf 0.0000 0.0000 0.0000  -0.07
Mo 0.5000 0.5000 0.5000  3.72
Au 0.0000 0.0000 0.5000  0.01
Au 0.0000 0.5000 0.0000  0.01
Ni 0.5000 0.0000 0.0000  -0.02

---

[2]
The following is a SCAN calculation of HfMoPdAu2 at its PBEsol-relaxed geometry, from Alexandria.

Values from the calculation:
Symmetry: P4/mmm (123)
E_form (eV/atom): 1.081

a b c (Å): 4.7252 5.0013 5.0013
angles (deg): 90.00 90.00 90.00
Site moments in Bohr magnetons follow the coordinates.
Fractional positions:
Hf 0.0000 0.0000 0.0000  -0.02
Mo 0.5000 0.5000 0.5000  3.84
Au 0.0000 0.0000 0.5000  0.02
Au 0.0000 0.5000 0.0000  0.02
Pd 0.5000 0.0000 0.0000  -0.09

---

[3]
The following is a SCAN calculation of HfSiMoAu2 at its PBEsol-relaxed geometry, from Alexandria.

Values from the calculation:
Formation energy from raw total energies (meV/atom): 1503
Symmetry: P4/mmm (123)

a b c (Å): 4.7011 5.0438 5.0438
angles (deg): 90.00 90.00 90.00
Fractional positions:
Hf 0.0000 0.0000 0.0000
Mo 0.5000 0.0000 0.0000
Au 0.0000 0.0000 0.5000
Au 0.0000 0.5000 0.0000
Si 0.5000 0.5000 0.5000

---

[4]
The following is a SCAN calculation of Hf2ScAuN at its PBEsol-relaxed geometry, from Alexandria.

Values from the calculation:
Formation energy from raw total energies (meV/atom): 1332
Symmetry: P4/mmm (123)

a b c (Å): 4.9960 5.0155 5.0155
angles (deg): 90.00 90.00 90.00
Site moments in Bohr magnetons follow the coordinates.
Fractional positions:
Sc 0.5000 0.0000 0.0000  -0.22
Hf 0.0000 0.0000 0.5000  -0.44
Hf 0.0000 0.5000 0.0000  -0.44
Au 0.0000 0.0000 0.0000  -0.04
N 0.5000 0.5000 0.5000  0.78

---

Number 1: DOS(E_F) 3.4 states/eV per cell. Number 2: DOS(E_F) 2.9 states/eV per cell. Number 3: DOS(E_F) 3.9 states/eV per cell. Number 4: DOS(E_F) 3.8 states/eV per cell.